1.
Hf5Si3N | GGA-PBEsol | optimized geometry

- Crystal system: hexagonal
- Raw formation energy: -1.15 eV per atom
- Symmetry: P6_3/mcm, No. 193

Cell lengths 7.7577, 7.7577, 5.4789 Å; angles 90.00, 90.00, 120.00 degrees
Positions (direct):
Hf (0.0000, 0.2344, 0.2500)
Hf (0.0000, 0.7656, 0.7500)
Hf (0.2344, 0.0000, 0.2500)
Hf (0.2344, 0.2344, 0.7500)
Hf (0.3333, 0.6667, 0.0000)
Hf (0.3333, 0.6667, 0.5000)
Hf (0.6667, 0.3333, 0.0000)
Hf (0.6667, 0.3333, 0.5000)
Hf (0.7656, 0.0000, 0.7500)
Hf (0.7656, 0.7656, 0.2500)
Si (0.0000, 0.4053, 0.7500)
Si (0.0000, 0.5947, 0.2500)
Si (0.4053, 0.0000, 0.7500)
Si (0.4053, 0.4053, 0.2500)
Si (0.5947, 0.0000, 0.2500)
Si (0.5947, 0.5947, 0.7500)
N (0.0000, 0.0000, 0.0000)
N (0.0000, 0.0000, 0.5000)

2.
SnF2 | GGA-PBEsol | optimized geometry

- Crystal system: orthorhombic
- Raw formation energy: -2.25 eV per atom
- Symmetry: P2_12_12_1, No. 19

Cell lengths 4.9209, 5.1399, 8.1681 Å; angles 90.00, 90.00, 90.00 degrees
Positions (direct):
Sn (0.2264, 0.0151, 0.3766)
Sn (0.2736, 0.9849, 0.8766)
Sn (0.7264, 0.4849, 0.6234)
Sn (0.7736, 0.5151, 0.1234)
F (0.0161, 0.6280, 0.4529)
F (0.0991, 0.2355, 0.6971)
F (0.4009, 0.7645, 0.1971)
F (0.4839, 0.3720, 0.9529)
F (0.5161, 0.8720, 0.5471)
F (0.5991, 0.2645, 0.3029)
F (0.9009, 0.7355, 0.8029)
F (0.9839, 0.1280, 0.0471)

3.
Ba2MnIn | GGA-PBEsol | optimized geometry

- Formation energy: 0.2290 eV per atom
- Crystal system: tetragonal
- Symmetry: I4/mmm, No. 139

Cell lengths 5.7935, 5.7935, 5.7935 Å; angles 119.82, 119.82, 90.32 degrees
Positions (direct):
Ba (0.2500, 0.7500, 0.5000)
Ba (0.7500, 0.2500, 0.5000)
Mn (0.0000, 0.0000, 0.0000)
In (0.5000, 0.5000, 0.0000)

Magnetization across the listed records, respectively: 0.000, 0.000, 1.021 μB/atom.
Total energy across the listed records, respectively: -9.845, -4.956, -4.031 eV/atom.
Fermi-level density of states across the listed records, respectively: 0.36, 0.00, 0.80 states/eV per atom.